Fe3RuO, relaxed, DFT PBE+U; uncorrected energy = -30.65 eV/cell; space-group type = Pm-3m (221); crystal system = cubic; ΔE to the lowest computed polymorph = 0.00 kcal/mol of atoms
1.0
4.119 0.000 0.000
0.000 4.119 0.000
0.000 0.000 4.119
Fe O Ru
3 1 1
Direct
0.000 0.000 0.500
0.000 0.500 0.000
0.500 0.000 0.000
0.000 0.000 0.000
0.500 0.500 0.500